1.
Compound: Cs2KI6Br
Source: Alexandria
Functional: PBE
Structure: relaxed

Lattice parameters (Å, degrees): 8.726 8.726 9.485 62.61 62.61 90.00
Positions (direct):
Cs  0.750  0.250  0.500
Cs  0.250  0.750  0.500
I  0.270  0.270  0.459
I  0.730  0.730  0.541
I  0.226  0.226  0.000
I  0.774  0.774  0.000
I  0.774  0.226  0.000
I  0.226  0.774  0.000
K  0.500  0.500  0.000
Br  0.000  0.000  0.000

Formation energy without anion corrections = -720 meV/atom
Symmetry = I4/mmm
Electronic total energy = -20.980 eV per cell

---

2.
Compound: La6YHo2
Source: Alexandria
Functional: PBE
Structure: relaxed

Lattice parameters (Å, degrees): 3.661 3.661 27.595 90.00 90.00 120.00
Positions (direct):
La  0.667  0.333  0.893
La  0.333  0.667  0.434
La  0.333  0.667  0.776
La  0.333  0.667  0.224
La  0.333  0.667  0.566
La  0.667  0.333  0.107
Y  0.333  0.667  0.000
Ho  0.667  0.333  0.330
Ho  0.667  0.333  0.670

Energy of formation = 0.055 eV/atom
Symmetry = P-6m2
Electronic total energy = -44.686 eV per cell

---

3.
Compound: Ba4IrBr
Source: Alexandria
Functional: PBE
Structure: relaxed

Lattice parameters (Å, degrees): 4.595 8.014 8.588 102.95 89.97 106.69
Positions (direct):
Ba  0.877  0.754  0.668
Ba  0.123  0.246  0.332
Ba  0.387  0.775  0.105
Ba  0.613  0.225  0.895
Ir  0.000  0.000  0.000
Br  0.500  0.000  0.500

Formation energy without anion corrections = -619 meV/atom
Symmetry = C2/m
Electronic total energy = -21.941 eV per cell

---

4.
Compound: CaErPt4
Source: Alexandria
Functional: PBE
Structure: relaxed

Lattice parameters (Å, degrees): 5.432 5.432 5.432 60.00 60.00 60.00
Positions (direct):
Ca  0.250  0.250  0.250
Pt  0.625  0.625  0.125
Pt  0.625  0.125  0.625
Pt  0.625  0.625  0.625
Pt  0.125  0.625  0.625
Er  0.000  0.000  0.000

Energy of formation = -1.030 eV/atom
Symmetry = F-43m
Electronic total energy = -36.909 eV per cell

---

5.
Compound: Ta2MoPt
Source: Alexandria
Functional: PBE
Structure: relaxed

Lattice parameters (Å, degrees): 4.140 2.788 6.169 71.72 90.00 90.00
Positions (direct):
Mo  0.500  0.250  0.250
Pt  0.500  0.750  0.750
Ta  0.000  0.079  0.006
Ta  0.000  0.421  0.494

Energy of formation = -0.248 eV/atom
Symmetry = P2/m
Electronic total energy = -41.568 eV per cell

---

6.
Compound: Tb6CdS4
Source: Alexandria
Functional: PBE
Structure: relaxed

Lattice parameters (Å, degrees): 3.965 6.845 20.237 90.00 90.00 106.84
Positions (direct):
Tb  0.500  0.000  0.000
Tb  0.500  0.000  0.500
Tb  0.038  0.076  0.342
Tb  0.962  0.924  0.658
Tb  0.962  0.924  0.842
Tb  0.038  0.076  0.158
Tb  0.771  0.543  0.416
Tb  0.229  0.457  0.584
Tb  0.229  0.457  0.916
Tb  0.771  0.543  0.084
Tb  0.340  0.681  0.250
Tb  0.660  0.319  0.750
Cd  0.659  0.318  0.250
Cd  0.341  0.682  0.750
S  0.863  0.726  0.539
S  0.405  0.811  0.121
S  0.137  0.274  0.461
S  0.595  0.189  0.879
S  0.863  0.726  0.961
S  0.137  0.274  0.039
S  0.595  0.189  0.621
S  0.405  0.811  0.379

Formation energy without anion corrections = -1539 meV/atom
Symmetry = Cmcm
Electronic total energy = -124.265 eV per cell